(1)
Density functional theory data (GGA-PBE) for TaCdAs after structural relaxation.

Unit cell a=7.410 b=7.410 c=7.410 alpha=157.01 beta=157.01 gamma=32.73
Element x y z (fractional)
Ta (0.000, 0.000, 0.000)
Cd (0.345, 0.345, 0.000)
As (0.634, 0.634, 0.000)

Computed properties:
* E above lowest polymorph: 146.5 meV/atom
* V: 61.99 Å³/cell
* ρ: 9.87 g/cm3
* total moment: 0.00 μB/atom
* energy of formation: 0.189 eV/atom
* uncorrected energy: -16.850 eV per formula unit
* space-group type: I4mm, No. 107

(2)
Density functional theory data (GGA-PBE) for AlV2As after structural relaxation.

Unit cell a=5.529 b=5.529 c=5.529 alpha=103.90 beta=103.90 gamma=121.29
Element x y z (fractional)
Al (0.000, 0.000, 0.000)
Al (0.750, 0.250, 0.500)
V (0.146, 0.625, 0.021)
V (0.375, 0.396, 0.521)
V (0.604, 0.125, 0.979)
V (0.875, 0.854, 0.479)
As (0.250, 0.750, 0.500)
As (0.500, 0.500, 0.000)

Computed properties:
* E above lowest polymorph: 116.8 meV/atom
* V: 125.92 Å³/cell
* ρ: 5.37 g/cm3
* total moment: 0.00 μB/atom
* energy of formation: 0.176 eV/atom
* uncorrected energy: -25.924 eV per formula unit
* space-group type: I-42d, No. 122

(3)
Density functional theory data (GGA-PBE) for RbZrSc2 after structural relaxation.

Unit cell a=9.920 b=9.920 c=9.920 alpha=142.23 beta=142.23 gamma=54.48
Element x y z (fractional)
Rb (0.375, 0.625, 0.750)
Rb (0.625, 0.375, 0.250)
Zr (0.125, 0.875, 0.250)
Zr (0.875, 0.125, 0.750)
Sc (0.000, 0.000, 0.000)
Sc (0.000, 0.000, 0.500)
Sc (0.000, 0.500, 0.000)
Sc (0.500, 0.000, 0.500)

Computed properties:
* E above lowest polymorph: 685.1 meV/atom
* V: 363.70 Å³/cell
* ρ: 2.43 g/cm3
* total moment: 0.30 μB/atom
* energy of formation: 1.383 eV/atom
* uncorrected energy: -16.647 eV per formula unit
* space-group type: I4_1/amd, No. 141

(4)
Density functional theory data (GGA-PBE) for Pm4Tl3Cd after structural relaxation.

Unit cell a=3.926 b=4.959 c=12.305 alpha=90.00 beta=90.00 gamma=90.00
Element x y z (fractional)
Pm (0.000, 0.000, 0.000)
Pm (0.000, 0.500, 0.298)
Pm (0.500, 0.000, 0.494)
Pm (0.500, 0.500, 0.798)
Tl (0.000, 0.000, 0.733)
Tl (0.000, 0.500, 0.563)
Tl (0.500, 0.500, 0.067)
Cd (0.500, 0.000, 0.226)

Computed properties:
* E above lowest polymorph: 56.2 meV/atom
* V: 239.62 Å³/cell
* ρ: 9.05 g/cm3
* total moment: 0.01 μB/atom
* energy of formation: -0.316 eV/atom
* uncorrected energy: -29.544 eV per formula unit
* space-group type: Pmm2, No. 25

(5)
Density functional theory data (GGA-PBE) for La5DyHoEr2 after structural relaxation.

Unit cell a=11.215 b=11.215 c=10.623 alpha=90.00 beta=90.00 gamma=151.67
Element x y z (fractional)
La (0.000, 0.000, 0.000)
La (0.000, 0.000, 0.500)
La (0.124, 0.876, 0.750)
La (0.219, 0.781, 0.442)
La (0.221, 0.779, 0.062)
La (0.499, 0.501, 0.750)
La (0.501, 0.499, 0.250)
La (0.779, 0.221, 0.562)
La (0.781, 0.219, 0.942)
La (0.876, 0.124, 0.250)
Dy (0.290, 0.710, 0.752)
Dy (0.710, 0.290, 0.252)
Ho (0.100, 0.900, 0.250)
Ho (0.900, 0.100, 0.750)
Er (0.386, 0.614, 0.500)
Er (0.387, 0.613, 0.001)
Er (0.613, 0.387, 0.501)
Er (0.614, 0.386, 0.000)

Computed properties:
* V: 634.10 Å³/cell
* ρ: 7.10 g/cm3
* total moment: 0.00 μB/atom
* energy of formation: 0.129 eV/atom
* uncorrected energy: -41.783 eV per formula unit
* space-group type: Cmc2_1, No. 36

(6)
Density functional theory data (GGA-PBE) for CdHg3Os after structural relaxation.

Unit cell a=5.307 b=5.307 c=5.307 alpha=90.00 beta=90.00 gamma=90.00
Element x y z (fractional)
Cd (0.000, 0.000, 0.000)
Hg (0.000, 0.500, 0.500)
Hg (0.500, 0.000, 0.500)
Hg (0.500, 0.500, 0.000)
Os (0.500, 0.500, 0.500)

Computed properties:
* E above lowest polymorph: 0.0 meV/atom
* V: 149.50 Å³/cell
* ρ: 10.05 g/cm3
* total moment: 0.21 μB/atom
* energy of formation: 0.761 eV/atom
* uncorrected energy: -9.243 eV per formula unit
* space-group type: Pm-3m, No. 221

(7)
Density functional theory data (GGA-PBE) for LiPaSn after structural relaxation.

Unit cell a=6.649 b=6.649 c=6.649 alpha=151.62 beta=151.62 gamma=40.57
Element x y z (fractional)
Li (0.000, 0.000, 0.000)
Pa (0.684, 0.684, 0.000)
Sn (0.374, 0.374, 0.000)

Computed properties:
* E above lowest polymorph: 103.2 meV/atom
* V: 66.27 Å³/cell
* ρ: 8.94 g/cm3
* total moment: 0.42 μB/atom
* energy of formation: 0.020 eV/atom
* uncorrected energy: -15.351 eV per formula unit
* space-group type: I4mm, No. 107

(8)
Density functional theory data (GGA-PBE) for Cs3PtO after structural relaxation.

Unit cell a=5.799 b=5.799 c=5.799 alpha=90.00 beta=90.00 gamma=90.00
Element x y z (fractional)
Cs (0.000, 0.000, 0.500)
Cs (0.000, 0.500, 0.000)
Cs (0.500, 0.000, 0.000)
Pt (0.500, 0.500, 0.500)
O (0.000, 0.000, 0.000)

Computed properties:
* E above lowest polymorph: 0.0 meV/atom
* V: 195.03 Å³/cell
* ρ: 5.19 g/cm3
* total moment: 0.20 μB/atom
* uncorrected energy: -15.090 eV per formula unit
* formation energy (no corrections): -1.530 eV/f.u.
* space-group type: Pm-3m, No. 221